1.
Density functional theory data (PBE-GGA) for a relaxed structure of GaP2PtCl.

Values from the calculation:
M_tot: 0.00 μB per cell
formation energy from raw total energies: 0.28 eV/atom

Cell lengths 4.4541, 4.4541, 8.5821 Å; angles 90.00, 90.00, 90.00 degrees
Fractional coordinates of all 5 atoms:
1 Ga 0.5000 0.5000 0.5000
2 Cl 0.0000 0.0000 0.5000
3 P 0.5000 0.0000 0.0000
4 P 0.0000 0.5000 0.0000
5 Pt 0.0000 0.0000 0.0000

***

2.
Density functional theory data (PBE-GGA) for a relaxed structure of GaP2PtCl.

Values from the calculation:
M_tot: 0.00 μB per cell
formation energy from raw total energies: 0.91 eV/atom

Cell lengths 4.7270, 4.7270, 4.5046 Å; angles 90.00, 90.00, 90.00 degrees
Fractional coordinates of all 5 atoms:
1 P 0.5000 0.0000 0.0000
2 P 0.0000 0.5000 0.0000
3 Ga 0.0000 0.0000 0.0000
4 Pt 0.5000 0.5000 0.5000
5 Cl 0.0000 0.0000 0.5000

***

3.
Density functional theory data (PBE-GGA) for a relaxed structure of RbGaP2Cl.

Values from the calculation:
M_tot: 0.70 μB per cell
formation energy from raw total energies: -0.06 eV/atom

Cell lengths 4.7130, 4.7130, 6.3161 Å; angles 90.00, 90.00, 90.00 degrees
Fractional coordinates of all 5 atoms:
1 P 0.5000 0.0000 0.0000
2 P 0.0000 0.5000 0.0000
3 Rb 0.5000 0.5000 0.5000
4 Ga 0.0000 0.0000 0.0000
5 Cl 0.0000 0.0000 0.5000

***

4.
Density functional theory data (PBE-GGA) for a relaxed structure of RbGa2PCl.

Values from the calculation:
M_tot: 0.00 μB per cell
formation energy from raw total energies: -0.42 eV/atom

Cell lengths 4.7493, 7.5726, 4.7493 Å; angles 90.00, 90.00, 90.00 degrees
Fractional coordinates of all 5 atoms:
1 P 0.0000 0.0000 0.0000
2 Rb 0.0000 0.5000 0.0000
3 Cl 0.5000 0.5000 0.5000
4 Ga 0.5000 0.0000 0.0000
5 Ga 0.0000 0.0000 0.5000

***

5.
Density functional theory data (PBE-GGA) for a relaxed structure of RbGaP2Cl.

Values from the calculation:
M_tot: 5.00 μB per cell
formation energy from raw total energies: 1.00 eV/atom

Cell lengths 6.4140, 6.4140, 5.9824 Å; angles 90.00, 90.00, 90.00 degrees
Fractional coordinates of all 5 atoms:
1 P 0.0000 0.5000 0.0000
2 P 0.5000 0.0000 0.0000
3 Ga 0.5000 0.5000 0.5000
4 Cl 0.0000 0.0000 0.5000
5 Rb 0.0000 0.0000 0.0000

***

6.
Density functional theory data (PBE-GGA) for a relaxed structure of GaReP2Cl.

Values from the calculation:
M_tot: 0.00 μB per cell
formation energy from raw total energies: 1.53 eV/atom

Cell lengths 4.5688, 4.5688, 4.5443 Å; angles 90.00, 90.00, 90.00 degrees
Fractional coordinates of all 5 atoms:
1 Re 0.5000 0.5000 0.5000
2 P 0.0000 0.5000 0.0000
3 P 0.5000 0.0000 0.0000
4 Cl 0.0000 0.0000 0.5000
5 Ga 0.0000 0.0000 0.0000

***

7.
Density functional theory data (PBE-GGA) for a relaxed structure of GaReP2Cl.

Values from the calculation:
M_tot: 0.00 μB per cell
formation energy from raw total energies: 0.26 eV/atom

Cell lengths 4.5602, 4.5602, 5.3906 Å; angles 90.00, 90.00, 90.00 degrees
Fractional coordinates of all 5 atoms:
1 Re 0.0000 0.0000 0.0000
2 P 0.0000 0.5000 0.0000
3 P 0.5000 0.0000 0.0000
4 Cl 0.0000 0.0000 0.5000
5 Ga 0.5000 0.5000 0.5000

***

8.
Density functional theory data (PBE-GGA) for a relaxed structure of GaP2RhCl.

Values from the calculation:
M_tot: 0.00 μB per cell
formation energy from raw total energies: 0.25 eV/atom

Cell lengths 4.4846, 4.4846, 5.7861 Å; angles 90.00, 90.00, 90.00 degrees
Fractional coordinates of all 5 atoms:
1 Rh 0.0000 0.0000 0.0000
2 P 0.5000 0.0000 0.0000
3 P 0.0000 0.5000 0.0000
4 Ga 0.5000 0.5000 0.5000
5 Cl 0.0000 0.0000 0.5000

***

9.
Density functional theory data (PBE-GGA) for a relaxed structure of GaP2SCl.

Values from the calculation:
M_tot: 0.06 μB per cell
formation energy from raw total energies: 0.85 eV/atom

Cell lengths 4.8382, 4.8382, 4.6047 Å; angles 90.00, 90.00, 90.00 degrees
Fractional coordinates of all 5 atoms:
1 S 0.0000 0.0000 0.5000
2 P 0.0000 0.5000 0.0000
3 P 0.5000 0.0000 0.0000
4 Cl 0.5000 0.5000 0.5000
5 Ga 0.0000 0.0000 0.0000

***

10.
Density functional theory data (PBE-GGA) for a relaxed structure of GaPSCl2.

Values from the calculation:
M_tot: 1.73 μB per cell
formation energy from raw total energies: 0.28 eV/atom

Cell lengths 4.6787, 4.6787, 5.1524 Å; angles 90.00, 90.00, 90.00 degrees
Fractional coordinates of all 5 atoms:
1 S 0.0000 0.0000 0.5000
2 Cl 0.5000 0.0000 0.0000
3 Cl 0.0000 0.5000 0.0000
4 Ga 0.0000 0.0000 0.0000
5 P 0.5000 0.5000 0.5000

***

11.
Density functional theory data (PBE-GGA) for a relaxed structure of GaPS2Cl.

Values from the calculation:
M_tot: 0.56 μB per cell
formation energy from raw total energies: 0.71 eV/atom

Cell lengths 4.5960, 4.5960, 5.1436 Å; angles 90.00, 90.00, 90.00 degrees
Fractional coordinates of all 5 atoms:
1 Ga 0.0000 0.0000 0.0000
2 S 0.0000 0.5000 0.0000
3 S 0.5000 0.0000 0.0000
4 Cl 0.5000 0.5000 0.5000
5 P 0.0000 0.0000 0.5000

***

12.
Density functional theory data (PBE-GGA) for a relaxed structure of GaPSCl2.

Values from the calculation:
M_tot: 0.00 μB per cell
formation energy from raw total energies: -0.14 eV/atom

Cell lengths 5.0410, 5.0410, 4.4895 Å; angles 90.00, 90.00, 90.00 degrees
Fractional coordinates of all 5 atoms:
1 Ga 0.5000 0.5000 0.5000
2 Cl 0.5000 0.0000 0.0000
3 Cl 0.0000 0.5000 0.0000
4 P 0.0000 0.0000 0.0000
5 S 0.0000 0.0000 0.5000

***

13.
Density functional theory data (PBE-GGA) for a relaxed structure of GaPS2Cl.

Values from the calculation:
M_tot: 1.58 μB per cell
formation energy from raw total energies: 1.08 eV/atom

Cell lengths 4.8697, 4.8697, 4.6656 Å; angles 90.00, 90.00, 90.00 degrees
Fractional coordinates of all 5 atoms:
1 S 0.5000 0.0000 0.0000
2 S 0.0000 0.5000 0.0000
3 P 0.0000 0.0000 0.5000
4 Ga 0.5000 0.5000 0.5000
5 Cl 0.0000 0.0000 0.0000

***

14.
Density functional theory data (PBE-GGA) for a relaxed structure of GaP2SCl.

Values from the calculation:
M_tot: 0.52 μB per cell
formation energy from raw total energies: 1.18 eV/atom

Cell lengths 4.6380, 4.6380, 5.0208 Å; angles 90.00, 90.00, 90.00 degrees
Fractional coordinates of all 5 atoms:
1 S 0.0000 0.0000 0.5000
2 Ga 0.5000 0.5000 0.5000
3 P 0.5000 0.0000 0.0000
4 P 0.0000 0.5000 0.0000
5 Cl 0.0000 0.0000 0.0000

***

15.
Density functional theory data (PBE-GGA) for a relaxed structure of GaP2SCl.

Values from the calculation:
M_tot: 0.56 μB per cell
formation energy from raw total energies: 0.82 eV/atom

Cell lengths 4.8203, 4.8203, 4.5792 Å; angles 90.00, 90.00, 90.00 degrees
Fractional coordinates of all 5 atoms:
1 Ga 0.0000 0.0000 0.0000
2 S 0.5000 0.5000 0.5000
3 P 0.5000 0.0000 0.0000
4 P 0.0000 0.5000 0.0000
5 Cl 0.0000 0.0000 0.5000

***

16.
Density functional theory data (PBE-GGA) for a relaxed structure of GaPSCl2.

Values from the calculation:
M_tot: 0.00 μB per cell
formation energy from raw total energies: 0.31 eV/atom

Cell lengths 5.7638, 5.7638, 4.1294 Å; angles 90.00, 90.00, 90.00 degrees
Fractional coordinates of all 5 atoms:
1 Ga 0.5000 0.5000 0.5000
2 Cl 0.0000 0.5000 0.0000
3 Cl 0.5000 0.0000 0.0000
4 S 0.0000 0.0000 0.0000
5 P 0.0000 0.0000 0.5000

***

17.
Density functional theory data (PBE-GGA) for a relaxed structure of GaP2SCl.

Values from the calculation:
M_tot: 0.00 μB per cell
formation energy from raw total energies: 0.55 eV/atom

Cell lengths 4.4216, 4.4216, 7.2957 Å; angles 90.00, 90.00, 90.00 degrees
Fractional coordinates of all 5 atoms:
1 Ga 0.5000 0.5000 0.5000
2 S 0.0000 0.0000 0.0000
3 Cl 0.0000 0.0000 0.5000
4 P 0.5000 0.0000 0.0000
5 P 0.0000 0.5000 0.0000

***

18.
Density functional theory data (PBE-GGA) for a relaxed structure of GaPSCl2.

Values from the calculation:
M_tot: 0.24 μB per cell
formation energy from raw total energies: 0.37 eV/atom

Cell lengths 4.5972, 4.5972, 5.3046 Å; angles 90.00, 90.00, 90.00 degrees
Fractional coordinates of all 5 atoms:
1 Cl 0.0000 0.5000 0.0000
2 Cl 0.5000 0.0000 0.0000
3 P 0.0000 0.0000 0.5000
4 Ga 0.0000 0.0000 0.0000
5 S 0.5000 0.5000 0.5000

***

19.
Density functional theory data (PBE-GGA) for a relaxed structure of GaPS2Cl.

Values from the calculation:
M_tot: 0.00 μB per cell
formation energy from raw total energies: 0.09 eV/atom

Cell lengths 4.5218, 4.5218, 5.1865 Å; angles 90.00, 90.00, 90.00 degrees
Fractional coordinates of all 5 atoms:
1 S 0.5000 0.0000 0.0000
2 S 0.0000 0.5000 0.0000
3 Cl 0.0000 0.0000 0.5000
4 Ga 0.5000 0.5000 0.5000
5 P 0.0000 0.0000 0.0000

***

20.
Density functional theory data (PBE-GGA) for a relaxed structure of GaPS2Cl.

Values from the calculation:
M_tot: 0.37 μB per cell
formation energy from raw total energies: 0.53 eV/atom

Cell lengths 4.7662, 4.7662, 4.5607 Å; angles 90.00, 90.00, 90.00 degrees
Fractional coordinates of all 5 atoms:
1 P 0.5000 0.5000 0.5000
2 Ga 0.0000 0.0000 0.0000
3 Cl 0.0000 0.0000 0.5000
4 S 0.0000 0.5000 0.0000
5 S 0.5000 0.0000 0.0000